Record 1
Computed, not measured: Tb4Zn3Pd after structural relaxation at the PBE level of DFT.

abc: 3.7056 4.5637 11.0755
angles: 90.00 90.00 90.00
Closest atoms and distances in Å follow each position.
Space group Pmm2 (No. 25)
Inequivalent atoms, fractional coordinates:
Tb 0.0000 0.0000 0.0000 x1  2 Pd 3.00, 5 Zn 3.03-3.20
Tb 0.0000 0.5000 0.2816 x1  3 Zn 3.03-3.15, 4 Pd 3.03
Tb 0.5000 0.0000 0.4852 x1  1 Pd 3.01, 6 Zn 3.07-3.11
Tb 0.5000 0.5000 0.7904 x1  7 Zn 3.04-3.10
Zn 0.0000 0.0000 0.7107 x1  2 Zn 2.79, 6 Tb 3.07-3.11
Zn 0.0000 0.5000 0.5656 x1  2 Zn 2.79, 6 Tb 3.07-3.10
Zn 0.5000 0.5000 0.0651 x1  2 Pd 2.81, 7 Tb 3.03-3.04
Pd 0.5000 0.0000 0.2136 x1  2 Zn 2.81, 7 Tb 3.00-3.03

Computed properties:
Its energy of formation is -0.441 eV/atom. The calculation puts the energy above the most stable polymorph in this dataset at 43 meV per atom. The calculation puts the total energy at -3.883 eV per atom.

Record 2
Computed, not measured: Tb2ZnPd9 after structural relaxation at the PBE level of DFT.

abc: 4.0963 4.0963 11.9954
angles: 90.00 90.00 90.00
Closest atoms and distances in Å follow each position.
Space group P4/mmm (No. 123)
Inequivalent atoms, fractional coordinates:
Tb 0.0000 0.0000 0.1753 x2  12 Pd 2.90-2.94
Zn 0.0000 0.0000 0.5000 x1  12 Pd 2.75-2.90
Pd 0.0000 0.5000 0.0000 x2  8 Pd 2.90-2.91, 4 Tb 2.94
Pd 0.0000 0.5000 0.3475 x4  8 Pd 2.75-2.93, 2 Zn 2.75, 2 Tb 2.91
Pd 0.5000 0.5000 0.1723 x2  4 Tb 2.90, 8 Pd 2.91-2.93
Pd 0.5000 0.5000 0.5000 x1  8 Pd 2.75, 4 Zn 2.90

Computed properties:
Its energy of formation is -0.668 eV/atom. The calculation puts the total energy at -5.440 eV per atom.

Record 3
Computed, not measured: TbZn2Pd8 after structural relaxation at the PBE level of DFT.

abc: 14.0680 4.1215 6.3774
angles: 90.00 107.86 90.00
Closest atoms and distances in Å follow each position.
Space group C2/m (No. 12)
Inequivalent atoms, fractional coordinates:
Tb 0.0000 0.0000 0.0000 x2  12 Pd 2.77-2.95
Zn 0.2240 0.5000 0.6517 x4  10 Pd 2.61-2.87
Pd 0.0450 0.5000 0.7226 x4  1 Zn 2.69, 8 Pd 2.73-2.91, 2 Tb 2.91
Pd 0.1012 0.0000 0.4740 x4  3 Zn 2.70-2.81, 8 Pd 2.75-2.97, 1 Tb 2.92
Pd 0.1486 0.5000 0.2136 x4  3 Zn 2.67-2.69, 6 Pd 2.76-2.90, 2 Tb 2.95
Pd 0.1836 0.0000 0.9252 x4  3 Zn 2.61-2.87, 8 Pd 2.75-2.90, 1 Tb 2.77

Computed properties:
Its energy of formation is -0.512 eV/atom. The calculation puts the total energy at -4.941 eV per atom.

Record 4
Computed, not measured: Tb6Zn2Pd after structural relaxation at the PBE level of DFT.

abc: 9.5907 9.6787 10.0937
angles: 90.00 90.00 90.00
Closest atoms and distances in Å follow each position.
Space group Immm (No. 71)
Inequivalent atoms, fractional coordinates:
Tb 0.0000 0.1757 0.2171 x8  3 Zn 2.91-3.07
Tb 0.1745 0.5000 0.2440 x8  1 Pd 3.08, 3 Zn 3.15-3.22, 1 Tb 3.35
Tb 0.1911 0.2392 0.5000 x8  2 Pd 2.95-3.12, 2 Zn 3.01-3.16
Zn 0.0000 0.3731 0.0000 x4  1 Zn 2.46
Zn 0.1372 0.0000 0.0000 x4  1 Zn 2.63
Pd 0.0000 0.0000 0.5000 x2  4 Tb 2.95
Pd 0.0000 0.5000 0.5000 x2  8 Tb 3.08-3.12

Computed properties:
Its energy of formation is -0.299 eV/atom. The calculation puts the energy above the most stable polymorph in this dataset at 0 meV per atom. The calculation puts the total energy at -4.246 eV per atom.